Entry 1:
SrSb2P, optimized geometry, DFT PBE; SG = No. 38; magnetic moment = 0.00 μB/f.u.; formation energy without anion corrections = -0.4326 eV/atom
1.0
3.2510 5.9850 1.8251
-5.7869 -2.8890 -2.8083
-1.8265 -0.2267 3.9970
Sr Sb P
1 2 1
direct
0.8761 0.1239 0.0000
0.5786 0.4214 0.5000
0.1457 0.8543 0.0000
0.3960 0.6040 0.5000

Entry 2:
SrSbP2, optimized geometry, DFT PBE; SG = No. 12; magnetic moment = 0.00 μB/f.u.; formation energy without anion corrections = -0.3313 eV/atom
1.0
3.9926 0.4159 -0.3061
1.6229 3.6715 -0.3061
2.3858 1.7366 6.9219
Sr P Sb
1 2 1
direct
0.2500 0.2500 0.2500
0.0114 0.0114 0.9651
0.4886 0.4886 0.5349
0.7500 0.7500 0.7500

Q: magnetic moment of number 1 (SrSb2P)?
A: 0.00 μB/f.u.

Q: Among the records above, which one has the lowest formation energy without anion corrections?
A: SrSb2P